# Cr2Pt3, optimized geometry, DFT PBE
# energy above the lowest structure with this stoichiometry = 0.72 eV per formula unit
# density = 14.0 g cm⁻³
# energy relative to the elements = 4.1 kJ per mole of atoms
data_Cr2Pt3
_cell_length_a 4.2264
_cell_length_b 4.2264
_cell_length_c 5.2810
_cell_angle_alpha 90.00
_cell_angle_beta 90.00
_cell_angle_gamma 120.00
_space_group_name_H-M_alt 'P -3 m 1'
_space_group_IT_number 164
_space_group_name_Hall '-P 3 2"'
loop_
_atom_site_label
_atom_site_type_symbol
_atom_site_fract_x
_atom_site_fract_y
_atom_site_fract_z
_atom_site_occupancy
Cr1 Cr 0.3333 0.6667 0.3260 1
Pt1 Pt 0.0000 0.0000 0.5000 1
Pt2 Pt 0.3333 0.6667 0.8391 1